Entry 1:
Pm7Y4Er: relaxed, PBE.

The value obtained for the energy of formation is 0.003 eV per atom. Its volume is 33.5 Å³/atom. The calculation puts the density of states at the Fermi level at 1.395 states/eV/atom.

The space group is P-1 (No. 2) and the conventional cell measures 6.3169, 7.2855 and 8.9863 Å, with angles of 90.00, 103.65 and 90.06 degrees. The inequivalent atoms are Pm at (0.0000, 0.0000, 0.0000), Pm at (0.2204, 0.5001, 0.6663), Pm at (0.2783, 0.7492, 0.3335), Pm at (0.4995, 0.7512, 0.0001), Y at (0.2211, 0.9998, 0.6657), Y at (0.2789, 0.2495, 0.3323) and Er at (0.0000, 0.5000, 0.0000).

Entry 2:
Dy2AlFe: relaxed, PBE.

The value obtained for the energy of formation is 0.465 eV per atom. Its volume is 23.5 Å³/atom. The calculation puts the density of states at the Fermi level at 0.964 states/eV/atom.

The space group is R-3m (No. 166, hexagonal axes) and the conventional cell measures 3.2605, 3.2605 and 30.6367 Å, with angles of 90.00, 90.00 and 120.00 degrees. The inequivalent atoms are Dy at (0.0000, 0.0000, 0.0875), Al at (0.0000, 0.0000, 0.5000) and Fe at (0.0000, 0.0000, 0.0000).

| no. | E above lowest polymorph (meV/atom) |
| --- | --- |
| 1 | 0 |
| 2 | 595 |